1.
The following is a DFT calculation (PBE-GGA) of an optimized crystal structure of Ta3P.

The structure in POSCAR format:
```
Ta3P
1.0
10.207 0.000 0.000
0.000 10.207 0.000
0.000 0.000 5.054
Ta P
24 8
direct
0.591 0.906 0.993 Ta
0.091 0.406 0.507 Ta
0.205 0.697 0.503 Ta
0.409 0.094 0.993 Ta
0.094 0.591 0.007 Ta
0.705 0.197 0.997 Ta
0.854 0.996 0.745 Ta
0.795 0.303 0.503 Ta
0.496 0.646 0.245 Ta
0.697 0.795 0.497 Ta
0.803 0.705 0.003 Ta
0.303 0.205 0.497 Ta
0.996 0.146 0.255 Ta
0.646 0.504 0.755 Ta
0.146 0.004 0.745 Ta
0.295 0.803 0.997 Ta
0.197 0.295 0.003 Ta
0.909 0.594 0.507 Ta
0.406 0.909 0.493 Ta
0.594 0.091 0.493 Ta
0.504 0.354 0.245 Ta
0.354 0.496 0.755 Ta
0.906 0.409 0.007 Ta
0.004 0.854 0.255 Ta
0.293 0.492 0.256 P
0.992 0.207 0.756 P
0.707 0.508 0.256 P
0.492 0.707 0.744 P
0.008 0.793 0.756 P
0.207 0.008 0.244 P
0.508 0.293 0.744 P
0.793 0.992 0.244 P
```

Values from the calculation:
**Density of states at the Fermi level**: 17.25 states/eV/cell
**Electronic total energy**: -0.398 Ha/atom
**DFT formation energy**: -0.60 eV per atom

---

2.
The following is a DFT calculation (PBE-GGA) of an optimized crystal structure of TaP2.

The structure in POSCAR format:
```
TaP2
1.0
-2.850 1.070 0.942
-2.391 -4.308 -2.345
0.557 -3.216 5.339
P Ta
4 2
direct
0.000 0.835 0.391 P
0.000 0.165 0.609 P
0.500 0.335 0.109 P
0.500 0.665 0.891 P
0.000 0.000 0.000 Ta
0.500 0.500 0.500 Ta
```

Values from the calculation:
**Density of states at the Fermi level**: 4.39 states/eV/cell
**Electronic total energy**: -0.284 Ha/atom
**DFT formation energy**: -0.18 eV per atom

---

3.
The following is a DFT calculation (PBE-GGA) of an optimized crystal structure of Ta3P.

The structure in POSCAR format:
```
Ta3P
1.0
4.355 0.000 0.000
0.000 4.355 0.000
0.000 0.000 3.495
Ta P
3 1
direct
0.500 0.000 0.500 Ta
0.500 0.500 0.000 Ta
0.000 0.500 0.500 Ta
0.000 0.000 0.000 P
```

Values from the calculation:
**Density of states at the Fermi level**: 2.42 states/eV/cell
**Electronic total energy**: -0.382 Ha/atom
**DFT formation energy**: -0.14 eV per atom

---

4.
The following is a DFT calculation (PBE-GGA) of an optimized crystal structure of Ta5P.

The structure in POSCAR format:
```
Ta5P
1.0
2.493 -4.318 0.000
2.493 4.318 0.000
0.000 0.000 4.903
Ta P
5 1
direct
0.668 0.000 0.000 Ta
0.333 0.667 0.500 Ta
0.000 0.668 0.000 Ta
0.667 0.333 0.500 Ta
0.332 0.332 0.000 Ta
0.000 0.000 0.500 P
```

Values from the calculation:
**Density of states at the Fermi level**: 5.79 states/eV/cell
**Excess energy over the best structure of this formula in the dataset**: 300.3 meV/atom
**Electronic total energy**: -0.391 Ha/atom
**DFT formation energy**: 0.13 eV per atom

---

5.
The following is a DFT calculation (PBE-GGA) of an optimized crystal structure of Ta3P.

The structure in POSCAR format:
```
Ta3P
1.0
-3.940 2.368 -0.471
-0.673 -0.211 4.567
2.318 3.963 0.524
Ta P
3 1
direct
0.500 0.000 0.000 Ta
0.000 0.500 0.000 Ta
0.000 0.000 0.500 Ta
0.000 0.000 0.000 P
```

Values from the calculation:
**Density of states at the Fermi level**: 3.94 states/eV/cell
**Electronic total energy**: -0.331 Ha/atom
**DFT formation energy**: 1.24 eV per atom

---

6.
The following is a DFT calculation (PBE-GGA) of an optimized crystal structure of Ta3P.

The structure in POSCAR format:
```
Ta3P
1.0
1.706 -2.416 0.000
1.706 2.416 0.000
0.000 0.000 8.226
Ta P
3 1
direct
0.500 0.500 0.222 Ta
0.500 0.500 0.778 Ta
0.000 0.000 0.500 Ta
0.000 0.000 0.000 P
```

Values from the calculation:
**Density of states at the Fermi level**: 1.74 states/eV/cell
**Electronic total energy**: -0.387 Ha/atom
**DFT formation energy**: -0.30 eV per atom